Entry 1:
Here is crystalline Ga2Ag2Hg at its relaxed geometry from Alexandria. Energies are from PBEsol.

Unit cell a=2.8815 b=7.9720 c=7.9720 alpha=90.00 beta=90.00 gamma=90.00
Sites, in units of the cell vectors:
Hg (0.0000, 0.0000, 0.0000)
Hg (0.0000, 0.5000, 0.5000)
Ag (0.0000, 0.1258, 0.3742)
Ag (0.0000, 0.6258, 0.1258)
Ag (0.0000, 0.3742, 0.8742)
Ag (0.0000, 0.8742, 0.6258)
Ga (0.5000, 0.6735, 0.8265)
Ga (0.5000, 0.1735, 0.6735)
Ga (0.5000, 0.8265, 0.3265)
Ga (0.5000, 0.3265, 0.1735)

Results
The crystal system is tetragonal. The value obtained for the total energy is -27.4 eV/cell. The energy relative to the elements comes out at 29 meV per atom.

---

Entry 2:
Here is crystalline NaTiF4 at its relaxed geometry from Alexandria. Energies are from PBEsol.

Unit cell a=4.9735 b=5.7736 c=11.0412 alpha=90.00 beta=90.00 gamma=90.00
Last column: magnetic moment on the atom in μB.
Sites, in units of the cell vectors:
Na (0.5000, 0.0000, 0.0000)  0.00
Na (0.0000, 0.5000, 0.0000)  0.00
Na (0.5000, 0.0000, 0.5000)  0.00
Na (0.0000, 0.5000, 0.5000)  0.00
F (0.3329, 0.3180, 0.0954)  0.00
F (0.7453, 0.0825, 0.1931)  0.00
F (0.1671, 0.8180, 0.0954)  0.00
F (0.2547, 0.0825, 0.3069)  0.00
F (0.3329, 0.6820, 0.5954)  0.00
F (0.2453, 0.5825, 0.3069)  0.00
F (0.6671, 0.3180, 0.4046)  0.00
F (0.7453, 0.9175, 0.6931)  0.00
F (0.7547, 0.5825, 0.1931)  0.00
F (0.8329, 0.1820, 0.9046)  0.00
F (0.2547, 0.9175, 0.8069)  0.00
F (0.8329, 0.8180, 0.4046)  0.00
F (0.1671, 0.1820, 0.5954)  0.00
F (0.6671, 0.6820, 0.9046)  0.00
F (0.2453, 0.4175, 0.8069)  0.00
F (0.7547, 0.4175, 0.6931)  0.00
Ti (0.5000, 0.3391, 0.2500)  0.93
Ti (0.0000, 0.8391, 0.2500)  0.93
Ti (0.5000, 0.6609, 0.7500)  0.93
Ti (0.0000, 0.1609, 0.7500)  0.93

Results
The crystal system is orthorhombic. The value obtained for the total energy is -145.5 eV/cell. The calculation puts the formation energy (no corrections) at -3.157 eV per atom.

---

Entry 3:
Here is crystalline Ba5Cr3O12F at its relaxed geometry from Alexandria. Energies are from PBEsol.

Unit cell a=7.8374 b=10.3539 c=10.3539 alpha=120.00 beta=90.00 gamma=90.00
Last column: magnetic moment on the atom in μB.
Sites, in units of the cell vectors:
Ba (0.2500, 0.2402, 0.2561)  0.01
Ba (0.2500, 0.0159, 0.7598)  0.01
Ba (0.5003, 0.3333, 0.6667)  0.01
Ba (0.7500, 0.2561, 0.0159)  0.01
Ba (0.0003, 0.6667, 0.3333)  0.01
Ba (0.2500, 0.7439, 0.9841)  0.01
Ba (0.4997, 0.6667, 0.3333)  0.01
Ba (0.7500, 0.9841, 0.2402)  0.01
Ba (0.7500, 0.7598, 0.7439)  0.01
Ba (0.9997, 0.3333, 0.6667)  0.01
O (0.4241, 0.3484, 0.0939)  0.01
O (0.2500, 0.5340, 0.4084)  0.01
O (0.5759, 0.2544, 0.3484)  0.01
O (0.5759, 0.6516, 0.9061)  0.01
O (0.7500, 0.4789, 0.3246)  0.01
O (0.2500, 0.1543, 0.4789)  0.01
O (0.9241, 0.6516, 0.9061)  0.01
O (0.4241, 0.7456, 0.6516)  0.01
O (0.7500, 0.4084, 0.8743)  0.01
O (0.2500, 0.5916, 0.1257)  0.01
O (0.7500, 0.6754, 0.1543)  0.01
O (0.9241, 0.0939, 0.7456)  0.01
O (0.0759, 0.7456, 0.6516)  0.01
O (0.5759, 0.0939, 0.7456)  0.01
O (0.0759, 0.9061, 0.2544)  0.01
O (0.7500, 0.4660, 0.5916)  0.01
O (0.2500, 0.8743, 0.4660)  0.01
O (0.2500, 0.3246, 0.8457)  0.01
O (0.4241, 0.9061, 0.2544)  0.01
O (0.2500, 0.5211, 0.6754)  0.01
O (0.7500, 0.1257, 0.5340)  0.01
O (0.7500, 0.8457, 0.5211)  0.01
O (0.0759, 0.3484, 0.0939)  0.01
O (0.9241, 0.2544, 0.3484)  0.01
F (0.2500, 0.0000, 0.0000)  0.00
F (0.7500, 0.0000, 0.0000)  0.00
Cr (0.2500, 0.6330, 0.5982)  0.87
Cr (0.7500, 0.0348, 0.6330)  0.87
Cr (0.2500, 0.9652, 0.3670)  0.87
Cr (0.7500, 0.3670, 0.4018)  0.87
Cr (0.2500, 0.4018, 0.0348)  0.87
Cr (0.7500, 0.5982, 0.9652)  0.87

Results
The crystal system is hexagonal. The value obtained for the total energy is -321.9 eV/cell. The calculation puts the formation energy (no corrections) at -2.597 eV per atom.

---

Entry 4:
Here is crystalline Ba5Ga6H2 at its relaxed geometry from Alexandria. Energies are from PBEsol.

Unit cell a=7.6950 b=7.6950 c=14.1832 alpha=90.00 beta=90.00 gamma=120.00
Sites, in units of the cell vectors:
Ga (0.6522, 0.5266, 0.0648)
Ga (0.4734, 0.3478, 0.5648)
Ga (0.6522, 0.1256, 0.5648)
Ga (0.4734, 0.1256, 0.0648)
Ga (0.8744, 0.5266, 0.5648)
Ga (0.8601, 0.5410, 0.9085)
Ga (0.6809, 0.5410, 0.4085)
Ga (0.4590, 0.3191, 0.9085)
Ga (0.8744, 0.3478, 0.0648)
Ga (0.8601, 0.3191, 0.4085)
Ga (0.4590, 0.1399, 0.4085)
Ga (0.6809, 0.1399, 0.9085)
H (0.0000, 0.0000, 0.6873)
H (0.3333, 0.6667, 0.7859)
H (0.3333, 0.6667, 0.2859)
H (0.0000, 0.0000, 0.1873)
Ba (0.3091, 0.9757, 0.7367)
Ba (0.3333, 0.6667, 0.9713)
Ba (0.0243, 0.6909, 0.2367)
Ba (0.0243, 0.3334, 0.7367)
Ba (0.3091, 0.3334, 0.2367)
Ba (0.3333, 0.6667, 0.4713)
Ba (0.6666, 0.9757, 0.2367)
Ba (0.0000, 0.0000, 0.5020)
Ba (0.0000, 0.0000, 0.0020)
Ba (0.6666, 0.6909, 0.7367)

Results
The crystal system is trigonal. The value obtained for the total energy is -87.4 eV/cell.

---

Entry 5:
Here is crystalline Ta3Os at its relaxed geometry from Alexandria. Energies are from PBEsol.

Unit cell a=3.1824 b=4.5171 c=5.3644 alpha=114.90 beta=107.25 gamma=90.00
Sites, in units of the cell vectors:
Ta (0.5000, 0.5000, 0.0000)
Ta (0.2548, 0.7548, 0.5096)
Ta (0.7452, 0.2452, 0.4904)
Os (0.0000, 0.0000, 0.0000)

Results
The crystal system is orthorhombic. The value obtained for the total energy is -51.0 eV/cell. The energy relative to the elements comes out at -274 meV per atom.

---

Entry 6:
Here is crystalline Pr3Ga at its relaxed geometry from Alexandria. Energies are from PBEsol.

Unit cell a=4.8015 b=4.8015 c=4.8015 alpha=90.00 beta=90.00 gamma=90.00
Sites, in units of the cell vectors:
Pr (0.5000, 0.5000, 0.0000)
Pr (0.0000, 0.5000, 0.5000)
Pr (0.5000, 0.0000, 0.5000)
Ga (0.0000, 0.0000, 0.0000)

Results
The crystal system is cubic. The value obtained for the total energy is -20.0 eV/cell. The energy relative to the elements comes out at -271 meV per atom.

---

Entry 7:
Here is crystalline ZnCoIr2 at its relaxed geometry from Alexandria. Energies are from PBEsol.

Unit cell a=2.6887 b=2.6887 c=8.5142 alpha=80.92 beta=80.92 gamma=60.00
Last column: magnetic moment on the atom in μB.
Sites, in units of the cell vectors:
Zn (0.5000, 0.5000, 0.5000)  0.00
Co (0.0000, 0.0000, 0.0000)  1.62
Ir (0.7472, 0.7472, 0.7585)  0.23
Ir (0.2528, 0.2528, 0.2415)  0.23

Results
The crystal system is trigonal. The value obtained for the total energy is -29.1 eV/cell. The energy relative to the elements comes out at -40 meV per atom.

---

Entry 8:
Here is crystalline RbLi2Be2F7 at its relaxed geometry from Alexandria. Energies are from PBEsol.

Unit cell a=4.9132 b=9.8804 c=12.3269 alpha=91.04 beta=90.00 gamma=90.00
Sites, in units of the cell vectors:
Li (0.6979, 0.6557, 0.0000)
Li (0.7855, 0.1429, 0.5039)
Li (0.1979, 0.8443, 0.0000)
Li (0.8021, 0.1557, 0.0000)
Li (0.2855, 0.3571, 0.4961)
Li (0.7145, 0.6429, 0.5039)
Li (0.3021, 0.3443, 0.0000)
Li (0.2145, 0.8571, 0.4961)
F (0.4419, 0.8894, 0.3808)
F (0.1167, 0.3889, 0.1250)
F (0.3082, 0.6506, 0.7612)
F (0.5581, 0.1106, 0.6192)
F (0.8755, 0.0292, 0.3893)
F (0.0999, 0.2188, 0.5686)
F (0.3293, 0.6696, 0.9671)
F (0.6918, 0.3494, 0.2388)
F (0.3755, 0.4708, 0.6107)
F (0.5999, 0.2812, 0.4314)
F (0.2665, 0.4385, 0.8739)
F (0.8833, 0.6111, 0.8750)
F (0.1918, 0.1506, 0.7612)
F (0.1707, 0.1696, 0.9671)
F (0.1245, 0.9708, 0.6107)
F (0.9419, 0.6106, 0.6192)
F (0.8293, 0.8304, 0.0329)
F (0.6167, 0.1111, 0.8750)
F (0.2335, 0.9385, 0.8739)
F (0.7665, 0.0615, 0.1261)
F (0.6707, 0.3304, 0.0329)
F (0.9001, 0.7812, 0.4314)
F (0.3833, 0.8889, 0.1250)
F (0.4001, 0.7188, 0.5686)
F (0.0581, 0.3894, 0.3808)
F (0.6245, 0.5292, 0.3893)
F (0.7335, 0.5615, 0.1261)
F (0.8082, 0.8494, 0.2388)
Rb (0.2577, 0.1422, 0.2462)
Rb (0.7577, 0.3578, 0.7538)
Rb (0.7423, 0.8578, 0.7538)
Rb (0.2423, 0.6422, 0.2462)
Be (0.2507, 0.6103, 0.6374)
Be (0.7507, 0.8897, 0.3626)
Be (0.8062, 0.4103, 0.1290)
Be (0.3062, 0.0897, 0.8710)
Be (0.6938, 0.9103, 0.1290)
Be (0.1938, 0.5897, 0.8710)
Be (0.2493, 0.1103, 0.6374)
Be (0.7493, 0.3897, 0.3626)

Results
The crystal system is monoclinic. The value obtained for the total energy is -256.7 eV/cell. The calculation puts the formation energy (no corrections) at -3.144 eV per atom.

---

Entry 9:
Here is crystalline Tl3FeSb at its relaxed geometry from Alexandria. Energies are from PBEsol.

Unit cell a=5.7713 b=5.7713 c=5.7713 alpha=90.00 beta=90.00 gamma=90.00
Last column: magnetic moment on the atom in μB.
Sites, in units of the cell vectors:
Tl (0.5000, 0.0000, 0.0000)  -0.02
Tl (0.0000, 0.5000, 0.0000)  -0.02
Tl (0.0000, 0.0000, 0.5000)  -0.02
Fe (0.5000, 0.5000, 0.5000)  3.33
Sb (0.0000, 0.0000, 0.0000)  0.00

Results
The crystal system is cubic. The value obtained for the total energy is -15.3 eV/cell. The calculation puts the formation energy (no corrections) at 1.231 eV per atom.

---

Entry 10:
Here is crystalline KY2Ag at its relaxed geometry from Alexandria. Energies are from PBEsol.

Unit cell a=3.6329 b=3.6329 c=9.8127 alpha=90.00 beta=90.00 gamma=90.00
Last column: magnetic moment on the atom in μB.
Sites, in units of the cell vectors:
Ag (0.5000, 0.5000, 0.4487)  0.00
K (0.0000, 0.0000, 0.7005)  0.01
Y (0.5000, 0.5000, 0.0568)  0.42
Y (0.0000, 0.0000, 0.2941)  0.20

Results
The crystal system is tetragonal. The value obtained for the total energy is -17.7 eV/cell. The energy relative to the elements comes out at 99 meV per atom.

---

What did the first record say?
Here is crystalline Ga2Ag2Hg at its relaxed geometry from Alexandria. Energies are from PBEsol.

Unit cell a=2.8815 b=7.9720 c=7.9720 alpha=90.00 beta=90.00 gamma=90.00
Sites, in units of the cell vectors:
Hg (0.0000, 0.0000, 0.0000)
Hg (0.0000, 0.5000, 0.5000)
Ag (0.0000, 0.1258, 0.3742)
Ag (0.0000, 0.6258, 0.1258)
Ag (0.0000, 0.3742, 0.8742)
Ag (0.0000, 0.8742, 0.6258)
Ga (0.5000, 0.6735, 0.8265)
Ga (0.5000, 0.1735, 0.6735)
Ga (0.5000, 0.8265, 0.3265)
Ga (0.5000, 0.3265, 0.1735)

Results
The crystal system is tetragonal. The value obtained for the total energy is -27.4 eV/cell. The energy relative to the elements comes out at 29 meV per atom.